(1)
A geometry-optimized La2MgW structure. Source: Alexandria, functional PBE-GGA.

Cell lengths 4.735, 4.735, 8.052 Å; angles 85.64, 85.64, 38.52 degrees
Sites, in units of the cell vectors:
La  0.997  0.997  0.037
La  0.503  0.503  0.463
Mg  0.750  0.750  0.750
W  0.250  0.250  0.250

Computed properties:
Its formation enthalpy at 0 K is 0.609 eV/atom. The polymorph energy (0 for the lowest one) is 21.60 kJ/mol of atoms. The value obtained for the density is 7.20 Mg/m³.

---

(2)
A geometry-optimized Pm2Zn4PtAu3 structure. Source: Alexandria, functional PBE-GGA.

Cell lengths 4.369, 4.369, 10.612 Å; angles 90.00, 90.00, 90.00 degrees
Sites, in units of the cell vectors:
Pm  0.500  0.000  0.264
Pm  0.000  0.500  0.736
Zn  0.500  0.500  0.000
Zn  0.000  0.000  0.000
Zn  0.500  0.000  0.627
Zn  0.000  0.500  0.373
Pt  0.500  0.500  0.500
Au  0.000  0.000  0.500
Au  0.500  0.000  0.863
Au  0.000  0.500  0.137

Computed properties:
Its formation enthalpy at 0 K is -0.556 eV/atom. The value obtained for the density is 10.97 Mg/m³.

---

(3)
A geometry-optimized TlCr2Hg structure. Source: Alexandria, functional PBE-GGA.

Cell lengths 4.786, 4.786, 5.743 Å; angles 79.05, 79.05, 39.49 degrees
Last column: magnetic moment on the atom in μB.
Sites, in units of the cell vectors:
Cr  0.998  0.998  0.004  3.54
Cr  0.502  0.502  0.496  3.54
Hg  0.250  0.250  0.250  -0.01
Tl  0.750  0.750  0.750  -0.07

Computed properties:
Its formation enthalpy at 0 K is 0.678 eV/atom. The value obtained for the density is 10.31 Mg/m³.

---

(4)
A geometry-optimized CdReRu2 structure. Source: Alexandria, functional PBE-GGA.

Cell lengths 7.179, 7.179, 5.789 Å; angles 51.68, 51.68, 90.00 degrees
Sites, in units of the cell vectors:
Re  0.000  0.000  0.000
Re  0.750  0.250  0.500
Ru  0.676  0.125  0.250
Ru  0.074  0.625  0.250
Ru  0.375  0.324  0.750
Ru  0.875  0.926  0.750
Cd  0.500  0.500  0.000
Cd  0.250  0.750  0.500

Computed properties:
Its formation enthalpy at 0 K is 0.742 eV/atom. The value obtained for the density is 11.60 Mg/m³.

---

The highest formation enthalpy at 0 K belongs to which entry? CdReRu2

---

Which value of formation enthalpy at 0 K does entry 4 give? 0.742 eV/atom

---

Look up the formation enthalpy at 0 K of the first one. 0.609 eV/atom